The following is a PBE with a Hubbard U calculation of an optimized crystal structure of CsLiMnP3HO10, from Alexandria via LeMat-Bulk.

The space group is C2 (No. 5) and the conventional cell measures 9.7172, 8.9192 and 6.6895 Å, with angles of 90.00, 115.72 and 90.00 degrees. The distinct sites, in fractional coordinates, are Cs at (0.0000, 0.0000, 0.0000), Li at (0.0000, 0.0294, 0.5000), Mn at (0.0000, 0.6791, 0.5000), P at (0.0000, 0.5740, 0.0000), P at (0.1859, 0.3998, 0.4178), H at (0.0000, 0.2799, 0.5000), O at (0.0674, 0.6614, 0.8715), O at (0.0855, 0.2608, 0.4110), O at (0.1271, 0.4568, 0.1614), O at (0.1462, 0.8664, 0.5215) and O at (0.1731, 0.5212, 0.5654).

Its total energy is -6.76 eV per atom. The density is 2.85 g/cm3.